1.
PBE LiReRh, relaxed; energy above the lowest structure with this stoichiometry = 0 meV/atom; energy of formation = 1.96 kcal/mol of atoms; space group = P3m1 (156)
1.0
4.200 0.000 0.000
-2.100 3.637 0.000
0.000 0.000 2.637
Li Rh Re
1 1 1
direct
0.000 0.000 0.962 Li
0.333 0.667 0.699 Rh
0.667 0.333 0.339 Re


2.
PBE CaYTl, relaxed; energy above the lowest structure with this stoichiometry = 2 meV/atom; energy of formation = -7.98 kcal/mol of atoms; space group = P6_3/mmc (194)
1.0
4.693 -2.709 0.000
0.000 5.419 0.000
0.000 0.000 6.943
Y Ca Tl
2 2 2
direct
0.667 0.333 0.250 Y
0.333 0.667 0.750 Y
0.000 0.000 0.000 Ca
0.000 0.000 0.500 Ca
0.333 0.667 0.250 Tl
0.667 0.333 0.750 Tl


3.
PBE LiPaAu2, relaxed; energy above the lowest structure with this stoichiometry = 73 meV/atom; energy of formation = -7.65 kcal/mol of atoms; space group = P4/mmm (123)
1.0
3.220 0.000 0.000
0.000 5.111 0.000
0.000 0.000 5.111
Pa Li Au
1 1 2
direct
0.500 0.000 0.000 Pa
0.500 0.500 0.500 Li
0.000 0.500 0.000 Au
0.000 0.000 0.500 Au


4.
PBE Tb5Nd2Al, relaxed; energy above the lowest structure with this stoichiometry = 0 meV/atom; energy of formation = -1.28 kcal/mol of atoms; space group = I4/mmm (139)
1.0
4.800 0.000 -0.931
-0.181 4.797 -0.931
-0.409 -0.424 10.734
Tb Nd Al
5 2 1
direct
0.500 0.500 0.000 Tb
0.884 0.384 0.767 Tb
0.616 0.116 0.233 Tb
0.116 0.616 0.233 Tb
0.384 0.884 0.767 Tb
0.745 0.745 0.490 Nd
0.255 0.255 0.510 Nd
0.000 0.000 0.000 Al


5.
PBE HfScNi, relaxed; energy above the lowest structure with this stoichiometry = 63 meV/atom; energy of formation = -5.78 kcal/mol of atoms; space group = C2/m (12)
1.0
-0.482 -3.927 -0.397
0.911 -0.614 4.960
-5.478 2.618 0.664
Ni Hf Sc
2 2 2
direct
0.237 0.842 0.473 Ni
0.763 0.158 0.527 Ni
0.151 0.321 0.302 Hf
0.849 0.679 0.698 Hf
0.417 0.228 0.835 Sc
0.583 0.772 0.165 Sc


6.
PBE KIn4Sn4, relaxed; energy of formation = 0.07 kcal/mol of atoms; space group = P4_2/nmc (137)
1.0
-3.732 -4.498 4.995
-2.660 -4.259 -5.822
8.046 -5.937 0.666
Sn In K
8 8 2
direct
0.000 0.297 0.655 Sn
0.297 0.000 0.345 Sn
0.797 0.500 0.155 Sn
0.203 0.500 0.155 Sn
0.703 0.000 0.345 Sn
0.500 0.203 0.845 Sn
0.000 0.703 0.655 Sn
0.500 0.797 0.845 Sn
0.500 0.230 0.145 In
0.000 0.270 0.355 In
0.230 0.500 0.855 In
0.000 0.730 0.355 In
0.770 0.500 0.855 In
0.270 0.000 0.645 In
0.500 0.770 0.145 In
0.730 0.000 0.645 In
0.000 0.000 0.000 K
0.500 0.500 0.500 K


7.
PBE SrMn2Fe, relaxed; energy of formation = 19.94 kcal/mol of atoms; space group = I-4m2 (119)
1.0
-2.674 -3.502 -2.693
3.226 -2.381 -3.254
0.319 0.867 5.081
Mn Sr Fe
2 1 1
direct
0.250 0.750 0.500 Mn
0.000 0.000 0.000 Mn
0.500 0.500 0.000 Sr
0.750 0.250 0.500 Fe


8.
PBE SiAgHg, relaxed; energy above the lowest structure with this stoichiometry = 0 meV/atom; space group = F-43m (216)
1.0
-2.993 -2.053 2.589
0.688 -4.209 1.297
0.974 -0.890 4.258
Si Ag Hg
1 1 1
direct
0.750 0.750 0.750 Si
0.000 0.000 0.000 Ag
0.500 0.500 0.500 Hg


no.,theoretical density (g/cm³),size of the total moment (μB per cell)
1,12.204,0.00
2,6.270,0.00
3,12.471,0.77
4,7.574,0.00
5,8.081,0.00
6,5.456,0.00
7,5.516,10.07
8,8.921,0.00